Record 1
Entry from Alexandria: a relaxed structure of TlSbHBr (PBE).

a = 4.5903 Å, b = 5.2169 Å, c = 4.7756 Å
α = 90.00°, β = 90.39°, γ = 90.00°
With the nearest neighbours (Å) after each atom.
Positions (direct):
Tl 0.8763 0.5000 0.9426  2 Sb 2.95, 2 Br 2.96-3.17
Sb 0.7597 0.0000 0.6759  1 H 1.75
H 0.4216 0.0000 0.8410  1 Sb 1.75
Br 0.3488 0.5000 0.3688  2 Tl 2.96-3.17

Results
Space-group type ... Pm (6)
Total magnetization ... 0.000 μB/atom
Polymorph energy (0 for the lowest one) ... 38.4 meV/atom
Uncorrected energy ... -2.94 eV per atom


Record 2
Entry from Alexandria: a relaxed structure of TlSbHBr (PBE).

a = 5.0819 Å, b = 3.6610 Å, c = 6.2748 Å
α = 90.00°, β = 92.15°, γ = 90.00°
With the nearest neighbours (Å) after each atom.
Positions (direct):
Br 0.0124 0.5000 0.7822  2 Sb 3.00-3.29, 2 Tl 3.31
H 0.6997 0.5000 0.2798  1 Sb 1.76
Tl 0.4939 0.0000 0.5918  2 H 2.90
Sb 0.0440 0.5000 0.2602  1 H 1.76

Results
Space-group type ... Pm (6)
Total magnetization ... 0.000 μB/atom
Polymorph energy (0 for the lowest one) ... 49.4 meV/atom
Uncorrected energy ... -2.93 eV per atom


Q: Look up the uncorrected energy of the second one.
A: -2.93 eV per atom